Material: Pu3Sb4
Method: DFT, PBE
State: relaxed

a = 4.238 Å, b = 6.191 Å, c = 16.103 Å
α = 90.38°, β = 90.06°, γ = 109.96°
Sites, in units of the cell vectors:
Pu: 0.000 0.000 0.000
Pu: 0.003 0.006 0.701
Pu: 0.283 0.566 0.203
Pu: 0.286 0.574 0.501
Pu: 0.529 0.059 0.351
Pu: 0.763 0.525 0.854
Sb: 0.287 0.574 0.999
Sb: 0.291 0.582 0.705
Sb: 0.495 0.991 0.851
Sb: 0.641 0.283 0.102
Sb: 0.645 0.291 0.602
Sb: 0.795 0.590 0.352
Sb: 0.996 0.992 0.205
Sb: 0.999 0.998 0.498

Summary:
symmetry: No. 1
DOS at the Fermi energy: 70.3 states/eV/cell
VASP energy: -9.005 eV per atom
energy relative to the elements, uncorrected: -0.5076 eV/atom


Material: Ho5In2AgRh2
Method: DFT, PBE
State: relaxed

a = 11.633 Å, b = 11.633 Å, c = 3.634 Å
α = 90.00°, β = 90.00°, γ = 90.00°
Sites, in units of the cell vectors:
Ho: 0.000 0.500 0.000
Ho: 0.075 0.202 0.000
Ho: 0.202 0.925 0.000
Ho: 0.298 0.425 0.000
Ho: 0.425 0.702 0.000
Ho: 0.500 0.000 0.000
Ho: 0.575 0.298 0.000
Ho: 0.702 0.575 0.000
Ho: 0.798 0.075 0.000
Ho: 0.925 0.798 0.000
In: 0.174 0.674 0.500
In: 0.326 0.174 0.500
In: 0.674 0.826 0.500
In: 0.826 0.326 0.500
Ag: 0.000 0.000 0.500
Ag: 0.500 0.500 0.500
Rh: 0.134 0.366 0.500
Rh: 0.366 0.866 0.500
Rh: 0.634 0.134 0.500
Rh: 0.866 0.634 0.500

Summary:
ΔH_f (0 K): -0.58 eV/atom
symmetry: No. 127
DOS at the Fermi energy: 8.0 states/eV/cell
VASP energy: -5.170 eV per atom


Material: TeAsC
Method: DFT, PBE
State: relaxed

a = 9.996 Å, b = 3.997 Å, c = 8.653 Å
α = 90.00°, β = 96.12°, γ = 90.00°
Sites, in units of the cell vectors:
Te: 0.000 0.000 0.000
Te: 0.071 0.500 0.688
Te: 0.500 0.500 0.000
Te: 0.571 0.000 0.688
As: 0.160 0.000 0.336
As: 0.468 0.500 0.501
As: 0.660 0.500 0.336
As: 0.968 0.000 0.501
C: 0.080 0.333 0.181
C: 0.080 0.667 0.181
C: 0.580 0.167 0.181
C: 0.580 0.833 0.181

Summary:
symmetry: No. 8
DOS at the Fermi energy: 0.1 states/eV/cell
VASP energy: -5.136 eV per atom
energy relative to the elements, uncorrected: 0.5355 eV/atom